Record 1
DFT (GGA-PBE) results for a relaxed Cr2FeOs2 crystal.

Geometry as CIF:
```
data_Cr2FeOs2
_chemical_formula_sum 'Cr4 Fe2 Os4'
_symmetry_space_group_name_H-M 'P 1'
_symmetry_Int_Tables_number 1
_symmetry_space_group_name_Hall 'P 1'
_cell_length_a 3.854
_cell_length_b 3.854
_cell_length_c 9.938
_cell_angle_alpha 90.00
_cell_angle_beta 90.00
_cell_angle_gamma 90.00
loop_
_atom_site_label
_atom_site_fract_x
_atom_site_fract_y
_atom_site_fract_z
Cr1 0.000 0.000 0.105
Cr2 0.000 0.000 0.895
Cr3 0.500 0.500 0.395
Cr4 0.500 0.500 0.605
Fe1 0.000 0.000 0.500
Fe2 0.500 0.500 0.000
Os1 0.000 0.500 0.250
Os2 0.000 0.500 0.750
Os3 0.500 0.000 0.250
Os4 0.500 0.000 0.750
```

Summary:
* N(E_F): 14.0 states/eV per cell
* symmetry: I4/mmm (139)
* energy above the most stable polymorph in this dataset: 535 meV/atom
* magnetic moment: 0.147 μB/f.u.
* DFT formation energy: 0.85 eV per atom
* final energy: -91.8 eV for the cell shown


Record 2
DFT (GGA-PBE) results for a relaxed CrFeOs3 crystal.

Geometry as CIF:
```
data_CrFeOs3
_chemical_formula_sum 'Cr1 Fe1 Os3'
_symmetry_space_group_name_H-M 'P 1'
_symmetry_Int_Tables_number 1
_symmetry_space_group_name_Hall 'P 1'
_cell_length_a 4.349
_cell_length_b 4.349
_cell_length_c 4.349
_cell_angle_alpha 90.00
_cell_angle_beta 90.00
_cell_angle_gamma 90.00
loop_
_atom_site_label
_atom_site_fract_x
_atom_site_fract_y
_atom_site_fract_z
Cr1 0.000 0.000 0.000
Fe1 0.500 0.500 0.500
Os1 0.000 0.500 0.500
Os2 0.500 0.000 0.500
Os3 0.500 0.500 0.000
```

Summary:
* N(E_F): 14.0 states/eV per cell
* symmetry: Pm-3m (221)
* energy above the most stable polymorph in this dataset: 1798 meV/atom
* magnetic moment: 0.027 μB/f.u.
* DFT formation energy: 1.97 eV per atom
* final energy: -41.9 eV for the cell shown